Entry 1:
VASP calculation (GGA-PBE) on a geometry-optimized PrTmTlCd structure.

Lattice parameters (Å, degrees): 7.648 7.648 7.648 90.00 90.00 90.00
Space group F-43m (No. 216)
Symmetry-distinct sites (fractional):
1 Pr 0.000 0.000 0.000 (multiplicity 4)
2 Tm 0.000 0.000 0.500 (multiplicity 4)
3 Tl 0.250 0.250 0.250 (multiplicity 4)
4 Cd 0.250 0.250 0.750 (multiplicity 4)

Calculated values
Its crystal system is cubic. For the calculated formation energy, the calculation gives -1.3 eV/f.u.

Entry 2:
VASP calculation (GGA-PBE) on a geometry-optimized Pr2TmTl2Cd2 structure.

Lattice parameters (Å, degrees): 5.0133 5.0133 27.9236 90.00 90.00 120.00
Space group R-3m (No. 166, hexagonal axes)
Symmetry-distinct sites (fractional):
1 Pr 0.0000 0.0000 0.1256 (multiplicity 6)
2 Tm 0.0000 0.0000 0.0000 (multiplicity 3)
3 Tl 0.0000 0.0000 0.2616 (multiplicity 6)
4 Cd 0.0000 0.0000 0.3860 (multiplicity 6)

Calculated values
Its crystal system is trigonal. For the calculated formation energy, the calculation gives -1.1 eV/f.u.

- Among the records above, which one has the highest calculated formation energy?
  Pr2TmTl2Cd2